! K2NbAu, relaxed, DFT PBE; values from VASP
! crystal system: cubic
&SYSTEM
  ibrav = 0, nat = 4, ntyp = 3
/
ATOMIC_SPECIES
Nb 92.91 Nb.upf
Au 196.97 Au.upf
K 39.10 K.upf
ATOMIC_POSITIONS angstrom
Nb 0.000 0.000 0.000
Au -4.181 -5.498 -1.077
K -2.091 -2.749 -0.539
K -6.272 -8.247 -1.616
CELL_PARAMETERS angstrom
-0.148 -5.580 -1.194
-4.039 -3.307 2.310
-4.176 -2.109 -3.270

! BaAg3P, relaxed, DFT PBE; values from VASP
! crystal system: cubic
&SYSTEM
  ibrav = 0, nat = 5, ntyp = 3
/
ATOMIC_SPECIES
P 30.97 P.upf
Ba 137.33 Ba.upf
Ag 107.87 Ag.upf
ATOMIC_POSITIONS angstrom
P 0.000 0.000 0.000
Ba 2.523 2.523 2.523
Ag 0.000 2.523 0.000
Ag 0.000 0.000 2.523
Ag 2.523 0.000 0.000
CELL_PARAMETERS angstrom
5.045 0.000 0.000
0.000 5.045 0.000
0.000 0.000 5.045

Q: Which formation energy from the elements values were calculated for the entries above? A: 1.080 -0.033, in eV/atom.
Q: Which energy above the most stable polymorph in this dataset values were calculated for the entries above? A: 221.0 0.0, in meV/atom.